1.
Below is a geometry-optimized CaHfCuIr structure, with properties calculated at the GGA-PBE level.

The value obtained for the electronic total energy is -6.531 eV per atom. For the formation energy from the elements, the calculation gives -0.303 eV/atom.

Cell lengths 6.6630, 6.6630, 6.6630 Å; angles 90.00, 90.00, 90.00 degrees
Closest atoms and distances in Å follow each position.
Space group F-43m (No. 216)
Inequivalent atoms, fractional coordinates:
Ca: 0.0000 0.0000 0.0000 x4  4 Ir 2.89, 4 Cu 2.89
Hf: 0.0000 0.0000 0.5000 x4  4 Cu 2.89, 4 Ir 2.89
Cu: 0.2500 0.2500 0.2500 x4  4 Ca 2.89, 4 Hf 2.89
Ir: 0.2500 0.2500 0.7500 x4  4 Hf 2.89, 4 Ca 2.89

=====

2.
Below is a geometry-optimized CaHfCu2N structure, with properties calculated at the GGA-PBE level.

The value obtained for the electronic total energy is -3.241 eV per atom. Its raw formation energy is 2453 meV/atom.

Cell lengths 4.4886, 4.4886, 5.9483 Å; angles 90.00, 90.00, 90.00 degrees
Closest atoms and distances in Å follow each position.
Space group P4/mmm (No. 123)
Inequivalent atoms, fractional coordinates:
Ca: 0.0000 0.0000 0.0000 x1  4 Cu 2.24
Hf: 0.0000 0.0000 0.5000 x1  2 Ca 2.97, 4 N 3.17
Cu: 0.0000 0.5000 0.0000 x2  2 Ca 2.24
N: 0.5000 0.5000 0.5000 x1  4 Hf 3.17

=====

3.
Below is a geometry-optimized CaHfCuP2 structure, with properties calculated at the GGA-PBE level.

The value obtained for the electronic total energy is -3.775 eV per atom. For the formation energy from the elements, the calculation gives 1.599 eV/atom.

Cell lengths 4.9805, 4.9805, 5.2550 Å; angles 90.00, 90.00, 90.00 degrees
Closest atoms and distances in Å follow each position.
Space group P4/mmm (No. 123)
Inequivalent atoms, fractional coordinates:
Ca: 0.0000 0.0000 0.0000 x1  4 P 2.49, 2 Hf 2.63
Hf: 0.0000 0.0000 0.5000 x1  2 Ca 2.63
Cu: 0.5000 0.5000 0.5000 x1  4 Hf 3.52, 8 P 3.62
P: 0.0000 0.5000 0.0000 x2  2 Ca 2.49

=====

4.
Below is a geometry-optimized CaHfCuPt structure, with properties calculated at the GGA-PBE level.

The value obtained for the electronic total energy is -5.967 eV per atom. For the formation energy from the elements, the calculation gives -0.444 eV/atom.

Cell lengths 6.7317, 6.7317, 6.7317 Å; angles 90.00, 90.00, 90.00 degrees
Closest atoms and distances in Å follow each position.
Space group F-43m (No. 216)
Inequivalent atoms, fractional coordinates:
Ca: 0.0000 0.0000 0.0000 x4  4 Cu 2.91, 4 Pt 2.91
Hf: 0.0000 0.0000 0.5000 x4  4 Pt 2.91, 4 Cu 2.91
Cu: 0.2500 0.2500 0.2500 x4  4 Hf 2.91, 4 Ca 2.91
Pt: 0.2500 0.2500 0.7500 x4  4 Hf 2.91, 4 Ca 2.91

=====

5.
Below is a geometry-optimized Ca2HfCuS5 structure, with properties calculated at the GGA-PBE level.

The value obtained for the electronic total energy is -5.758 eV per atom. Its raw formation energy is -1459 meV/atom.

Cell lengths 3.7339, 16.7998, 11.8018 Å; angles 90.00, 90.00, 90.00 degrees
Closest atoms and distances in Å follow each position.
Space group Cmc2_1 (No. 36)
Inequivalent atoms, fractional coordinates:
Ca: 0.0000 0.1111 0.0000 x4  6 S 2.83-3.13
Ca: 0.0000 0.1206 0.6465 x4  7 S 2.83-3.11
Hf: 0.0000 0.2004 0.3394 x4  6 S 2.53-2.58
Cu: 0.0000 0.4379 0.7563 x4  4 S 2.24-2.39
S: 0.0000 0.0472 0.3598 x4  2 Cu 2.24
S: 0.0000 0.2916 0.9880 x4  2 Hf 2.56
S: 0.0000 0.3034 0.6891 x4  1 Cu 2.39, 2 Hf 2.58
S: 0.0000 0.3510 0.3276 x4  1 Hf 2.53, 2 Ca 2.83
S: 0.0000 0.4993 0.0888 x4  1 Cu 2.24

=====

6.
Below is a geometry-optimized Ca2HfCuSe5 structure, with properties calculated at the GGA-PBE level.

The value obtained for the electronic total energy is -5.252 eV per atom. Its raw formation energy is -1310 meV/atom.

Cell lengths 3.8836, 17.7036, 12.2807 Å; angles 90.00, 90.00, 90.00 degrees
Closest atoms and distances in Å follow each position.
Space group Cmc2_1 (No. 36)
Inequivalent atoms, fractional coordinates:
Ca: 0.0000 0.1155 0.0000 x4  7 Se 2.96-3.31
Ca: 0.0000 0.1169 0.6466 x4  7 Se 2.96-3.29
Hf: 0.0000 0.1950 0.3363 x4  6 Se 2.68-2.72
Cu: 0.0000 0.4314 0.7497 x4  4 Se 2.38-2.45
Se: 0.0000 0.0442 0.3566 x4  2 Cu 2.38
Se: 0.0000 0.2942 0.9878 x4  2 Hf 2.70
Se: 0.0000 0.3010 0.6820 x4  1 Cu 2.45, 2 Hf 2.71
Se: 0.0000 0.3483 0.3259 x4  1 Hf 2.72, 4 Ca 2.96-3.00
Se: 0.0000 0.4993 0.5819 x4  1 Cu 2.39

=====

7.
Below is a geometry-optimized CaCu2Hg structure, with properties calculated at the GGA-PBE level.

The value obtained for the electronic total energy is -2.561 eV per atom. For the formation energy from the elements, the calculation gives 0.063 eV/atom.

Cell lengths 4.6267, 4.6267, 18.3762 Å; angles 90.00, 90.00, 90.00 degrees
Closest atoms and distances in Å follow each position.
Space group I-42d (No. 122)
Inequivalent atoms, fractional coordinates:
Ca: 0.0000 0.0000 0.0000 x4  4 Hg 3.27, 8 Cu 3.35-3.57
Cu: 0.0357 0.2500 0.6250 x8  2 Cu 2.34, 2 Hg 2.58
Hg: 0.0000 0.0000 0.5000 x4  4 Cu 2.58

=====

8.
Below is a geometry-optimized CaCu2Hg2 structure, with properties calculated at the GGA-PBE level.

The value obtained for the electronic total energy is -2.267 eV per atom. For the formation energy from the elements, the calculation gives -0.107 eV/atom.

Cell lengths 4.4383, 4.4383, 10.9015 Å; angles 90.00, 90.00, 90.00 degrees
Closest atoms and distances in Å follow each position.
Space group I4/mmm (No. 139)
Inequivalent atoms, fractional coordinates:
Ca: 0.0000 0.0000 0.0000 x2  8 Cu 3.35, 8 Hg 3.51
Cu: 0.0000 0.0000 0.3931 x4  1 Cu 2.33
Hg: 0.0000 0.5000 0.2500 x4  4 Cu 2.71

=====

9.
Below is a geometry-optimized Ca8CuHg2 structure, with properties calculated at the GGA-PBE level.

The value obtained for the electronic total energy is -2.096 eV per atom. For the formation energy from the elements, the calculation gives -0.213 eV/atom.

Cell lengths 18.9394, 5.3474, 7.3470 Å; angles 90.00, 106.70, 90.00 degrees
Closest atoms and distances in Å follow each position.
Space group C2/m (No. 12)
Inequivalent atoms, fractional coordinates:
Ca: 0.0282 0.0000 0.2920 x4  1 Hg 3.16, 2 Cu 3.20, 1 Ca 3.51
Ca: 0.0936 0.5000 0.9413 x4  1 Cu 3.22, 2 Hg 3.50
Ca: 0.1595 0.5000 0.4662 x4  1 Cu 3.10, 3 Hg 3.19-3.35
Ca: 0.2073 0.0000 0.8111 x4  3 Hg 3.14-3.41
Cu: 0.0000 0.5000 0.5000 x2  8 Ca 3.10-3.22
Hg: 0.1845 0.0000 0.2173 x4  9 Ca 3.14-3.50

=====

10.
Below is a geometry-optimized Ca2CuHg structure, with properties calculated at the GGA-PBE level.

The value obtained for the electronic total energy is -2.406 eV per atom. For the formation energy from the elements, the calculation gives -0.306 eV/atom.

Cell lengths 4.1493, 4.5911, 5.9896 Å; angles 90.00, 110.10, 90.00 degrees
Closest atoms and distances in Å follow each position.
Space group Pm (No. 6)
Inequivalent atoms, fractional coordinates:
Ca: 0.0000 0.0000 0.0000 x1  3 Hg 3.17-3.22, 4 Cu 3.20
Ca: 0.2868 0.5000 0.5746 x1  3 Cu 3.18-3.21, 4 Hg 3.20-3.21
Cu: 0.5731 0.5000 0.1454 x1  2 Hg 2.79
Hg: 0.7130 0.0000 0.4267 x1  2 Cu 2.79

=====

11.
Below is a geometry-optimized CaCu2Hg structure, with properties calculated at the GGA-PBE level.

The value obtained for the electronic total energy is -2.702 eV per atom. For the formation energy from the elements, the calculation gives -0.078 eV/atom.

Cell lengths 3.9219, 4.0361, 5.4276 Å; angles 90.00, 111.18, 90.00 degrees
Closest atoms and distances in Å follow each position.
Space group Pm (No. 6)
Inequivalent atoms, fractional coordinates:
Ca: 0.0000 0.0000 0.0000 x1  7 Cu 2.81-2.99
Cu: 0.5921 0.5000 0.1858 x1  2 Cu 2.40
Cu: 0.7236 0.0000 0.4438 x1  2 Cu 2.40
Hg: 0.3105 0.5000 0.6168 x1  7 Cu 2.88-2.95

=====

12.
Below is a geometry-optimized Ca2CuHg structure, with properties calculated at the GGA-PBE level.

The value obtained for the electronic total energy is -2.296 eV per atom. For the formation energy from the elements, the calculation gives -0.195 eV/atom.

Cell lengths 4.5021, 4.5021, 20.9807 Å; angles 90.00, 90.00, 120.00 degrees
Closest atoms and distances in Å follow each position.
Space group R3m (No. 160, hexagonal axes)
Inequivalent atoms, fractional coordinates:
Ca: 0.0000 0.0000 0.0000 x3  3 Cu 3.19, 3 Hg 3.22
Ca: 0.0000 0.0000 0.1804 x3  3 Hg 3.21, 3 Cu 3.24
Cu: 0.0000 0.0000 0.4217 x3  3 Hg 2.60
Hg: 0.0000 0.0000 0.7577 x3  3 Cu 2.60

=====

> Which formula does entry 3 have?

CaHfCuP2

=====

> The lowest electronic total energy belongs to which entry?

CaHfCuIr

=====

> electronic total energy of number 2 (CaHfCu2N)?

-3.241 eV per atom

=====

> The lowest electronic total energy belongs to which entry?

CaHfCuIr